{
  "formula": "K3HfMo",
  "functional": "GGA-PBE",
  "state": "relaxed",
  "lattice": [[6.683, 0.000, 0.000], [0.000, 6.683, 0.000], [0.000, 0.000, 6.683]],
  "species": ["K", "K", "K", "Hf", "Mo"],
  "fractional_positions": [[0.000, 0.000, 0.500], [0.000, 0.500, 0.000], [0.500, 0.000, 0.000], [0.000, 0.000, 0.000], [0.500, 0.500, 0.500]],
  "spacegroup": "Pm-3m (221)",
  "final_energy_ev_per_atom": -2.6374,
  "delta_e_f_ev_per_atom": 2.178,
  "polymorph_energy_ev_per_atom": 0.000,
  "magnetic_moment_mub_per_atom": 1.80,
  "n_ef_per_ev_atom": 0.9248
}